# LaTaSi

LaTaSi after structural relaxation (GGA-PBEsol, Alexandria).

```
LaTaSi
1.0
3.0539 0.0000 0.0000
0.0000 3.0539 0.0000
-1.5269 -1.5269 6.5756
Ta Si La
1 1 1
direct
0.3065 0.3065 0.6131
0.6809 0.6809 0.3618
0.0126 0.0126 0.0252
```

- uncorrected energy (eV for the cell shown) = -23.50
- density of states at the Fermi level (states/eV per cell) = 3.13
- total moment (μB per formula unit) = 0.00
- SG = I4mm